[1]
## KCSeN2 (SCAN)

Data for KCSeN2 at its PBEsol-relaxed geometry.

a b c (Å): 3.998 3.998 4.257
angles (deg): 90.00 90.00 90.00
Space group P4/mmm (No. 123)
Symmetry-distinct sites (fractional):
1 K 0.000 0.000 0.000
2 C 0.500 0.500 0.500
3 Se 0.500 0.500 0.000
4 N 0.000 0.500 0.500

ΔE_f (raw) ... 2.1392 eV/atom



[2]
## KIrRh2C (SCAN)

Data for KIrRh2C at its PBEsol-relaxed geometry.

a b c (Å): 3.966 3.966 4.748
angles (deg): 90.00 90.00 90.00
Space group P4/mmm (No. 123)
Symmetry-distinct sites (fractional):
1 K 0.000 0.000 0.000
2 Ir 0.500 0.500 0.000
3 Rh 0.000 0.500 0.500
4 C 0.000 0.000 0.500

ΔH_f (0 K) ... 1.121 eV/atom



[3]
## MoAuCl2 (SCAN)

Data for MoAuCl2 at its PBEsol-relaxed geometry.

a b c (Å): 2.899 4.252 5.448
angles (deg): 90.00 92.57 90.00
Space group P2/m (No. 10)
Symmetry-distinct sites (fractional):
1 Mo 0.000 0.000 0.000
2 Au 0.500 0.000 0.500
3 Cl 0.143 0.500 0.234

ΔE_f (raw) ... 0.3497 eV/atom